# Al2OsAu2 (GGA-PBE, relaxed)
# Energy in eV/atom: -4.95
# Formation enthalpy at 0 K in eV per atom: 0.11
# Relative energy among the computed polymorphs in eV/f.u.: 0.00
data_Al2OsAu2
_chemical_formula_sum 'Al4 Os2 Au4'
_symmetry_space_group_name_H-M 'P 4/m b m'
_symmetry_Int_Tables_number 127
_symmetry_space_group_name_Hall '-P 4 2ab'
_cell_length_a 7.4019
_cell_length_b 7.4019
_cell_length_c 2.9312
_cell_angle_alpha 90.00
_cell_angle_beta 90.00
_cell_angle_gamma 90.00
loop_
_atom_site_label
_atom_site_type_symbol
_atom_site_fract_x
_atom_site_fract_y
_atom_site_fract_z
Al1 Al 0.1719 0.3281 0.0000
Os1 Os 0.0000 0.0000 0.5000
Au1 Au 0.1322 0.6322 0.5000